[1]
The following is a DFT calculation (GGA-PBE) of a relaxed Ga2PtBr6F2 crystal.

## Properties
V: 29.24 Å³ per atom
Uncorrected energy: -3.36 eV/atom
Crystal system: monoclinic
SG: No. 12
Size of the total moment: 0.0 μB/cell

Lattice parameters (Å, degrees): 6.777 6.777 7.604 90.11 90.11 67.04
Element x y z (fractional)
Ga 0.224 0.224 0.185
Ga 0.776 0.776 0.815
Pt 0.000 0.000 0.500
Br 0.117 0.658 0.658
Br 0.179 0.179 0.890
Br 0.342 0.883 0.342
Br 0.658 0.117 0.658
Br 0.821 0.821 0.110
Br 0.883 0.342 0.342
F 0.375 0.375 0.249
F 0.625 0.625 0.751

---

[2]
The following is a DFT calculation (GGA-PBE) of a relaxed Zr2ZnSeS3 crystal.

## Properties
V: 25.59 Å³ per atom
Uncorrected energy: -5.82 eV/atom
Crystal system: triclinic
SG: No. 1
Size of the total moment: 0.6 μB/cell

Lattice parameters (Å, degrees): 5.468 5.997 6.721 116.02 111.21 92.50
Element x y z (fractional)
Zr 0.000 0.000 0.000
Zr 0.257 0.802 0.565
Zn 0.739 0.283 0.523
Se 0.849 0.406 0.252
S 0.100 0.185 0.766
S 0.371 0.917 0.286
S 0.610 0.631 0.777

---

[3]
The following is a DFT calculation (GGA-PBE) of a relaxed Np3Co2 crystal.

## Properties
V: 18.53 Å³ per atom
Uncorrected energy: -10.22 eV/atom
DFT formation energy: 0.281 eV/atom
Crystal system: trigonal
SG: No. 167
Size of the total moment: 21.0 μB/cell

Lattice parameters (Å, degrees): 7.195 7.195 7.195 47.50 47.50 47.50
Element x y z (fractional)
Np 0.176 0.750 0.324
Np 0.250 0.676 0.824
Np 0.324 0.176 0.750
Np 0.676 0.824 0.250
Np 0.750 0.324 0.176
Np 0.824 0.250 0.676
Co 0.188 0.188 0.188
Co 0.312 0.312 0.312
Co 0.688 0.688 0.688
Co 0.812 0.812 0.812

---

[4]
The following is a DFT calculation (GGA-PBE) of a relaxed TmZn3Sn4O12 crystal.

## Properties
V: 11.80 Å³ per atom
Uncorrected energy: -5.83 eV/atom
Crystal system: cubic
SG: No. 204
Size of the total moment: 0.0 μB/cell

Lattice parameters (Å, degrees): 6.744 6.744 6.744 109.47 109.47 109.47
Element x y z (fractional)
Tm 0.000 0.000 0.000
Zn 0.000 0.500 0.500
Zn 0.500 0.000 0.500
Zn 0.500 0.500 0.000
Sn 0.000 0.000 0.500
Sn 0.000 0.500 0.000
Sn 0.500 0.000 0.000
Sn 0.500 0.500 0.500
O 0.129 0.297 0.831
O 0.169 0.466 0.297
O 0.169 0.871 0.703
O 0.297 0.169 0.466
O 0.297 0.831 0.129
O 0.466 0.297 0.169
O 0.534 0.703 0.831
O 0.703 0.169 0.871
O 0.703 0.831 0.534
O 0.831 0.129 0.297
O 0.831 0.534 0.703
O 0.871 0.703 0.169

---

[5]
The following is a DFT calculation (GGA-PBE) of a relaxed LaPrB2Pt2N2 crystal.

## Properties
V: 14.36 Å³ per atom
Uncorrected energy: -7.58 eV/atom
Crystal system: tetragonal
SG: No. 99
Size of the total moment: 0.0 μB/cell

Lattice parameters (Å, degrees): 3.836 3.836 7.809 90.00 90.00 90.00
Element x y z (fractional)
La 0.000 0.000 0.000
Pr 0.500 0.500 0.329
B 0.000 0.000 0.500
B 0.500 0.500 0.828
Pt 0.000 0.500 0.662
Pt 0.500 0.000 0.662
N 0.000 0.000 0.315
N 0.500 0.500 0.012

---

[6]
The following is a DFT calculation (GGA-PBE) of a relaxed KAlCoS3 crystal.

## Properties
Relative energy among the computed polymorphs: 0.4 kJ/mol of atoms
V: 21.31 Å³ per atom
Uncorrected energy: -4.91 eV/atom
Crystal system: orthorhombic
SG: No. 62
Size of the total moment: 0.0 μB/cell

Lattice parameters (Å, degrees): 14.280 3.515 10.189 90.00 90.00 90.00
Element x y z (fractional)
K 0.233 0.250 0.054
K 0.267 0.750 0.554
K 0.733 0.250 0.446
K 0.767 0.750 0.946
Al 0.026 0.250 0.368
Al 0.474 0.750 0.868
Al 0.526 0.250 0.132
Al 0.974 0.750 0.632
Co 0.009 0.750 0.089
Co 0.491 0.250 0.589
Co 0.509 0.750 0.411
Co 0.991 0.250 0.911
S 0.078 0.750 0.897
S 0.087 0.250 0.581
S 0.112 0.750 0.265
S 0.388 0.250 0.765
S 0.413 0.750 0.081
S 0.422 0.250 0.397
S 0.578 0.750 0.603
S 0.587 0.250 0.919
S 0.612 0.750 0.235
S 0.888 0.250 0.735
S 0.913 0.750 0.419
S 0.922 0.250 0.103

---

[7]
The following is a DFT calculation (GGA-PBE) of a relaxed KHf3P5 crystal.

## Properties
V: 20.94 Å³ per atom
Uncorrected energy: -7.05 eV/atom
Crystal system: hexagonal
SG: No. 191
Size of the total moment: 0.0 μB/cell

Lattice parameters (Å, degrees): 6.021 6.021 6.002 90.00 90.00 120.00
Element x y z (fractional)
K 0.000 0.000 0.000
Hf 0.000 0.500 0.500
Hf 0.500 0.000 0.500
Hf 0.500 0.500 0.500
P 0.000 0.000 0.500
P 0.333 0.667 0.181
P 0.333 0.667 0.819
P 0.667 0.333 0.181
P 0.667 0.333 0.819

---

[8]
The following is a DFT calculation (GGA-PBE) of a relaxed LaMgScNi crystal.

## Properties
Relative energy among the computed polymorphs: 0.0 kJ/mol of atoms
V: 22.53 Å³ per atom
Uncorrected energy: -4.65 eV/atom
Crystal system: cubic
SG: No. 216
Size of the total moment: 0.0 μB/cell

Lattice parameters (Å, degrees): 7.117 7.117 7.117 90.00 90.00 90.00
Element x y z (fractional)
La 0.000 0.000 0.000
La 0.000 0.500 0.500
La 0.500 0.000 0.500
La 0.500 0.500 0.000
Mg 0.250 0.250 0.750
Mg 0.250 0.750 0.250
Mg 0.750 0.250 0.250
Mg 0.750 0.750 0.750
Sc 0.000 0.000 0.500
Sc 0.000 0.500 0.000
Sc 0.500 0.000 0.000
Sc 0.500 0.500 0.500
Ni 0.250 0.250 0.250
Ni 0.250 0.750 0.750
Ni 0.750 0.250 0.750
Ni 0.750 0.750 0.250

---

Look up the uncorrected energy of the seventh one. -7.05 eV/atom

---

Number 8 is which compound? LaMgScNi

---

Among the records above, which one has the lowest uncorrected energy? Np3Co2

---

What is the size of the total moment in the fifth record? 0.0 μB/cell